The following is a DFT calculation (PBE) of a relaxed BMoAsBr2 crystal.

Results
- ΔE to the lowest computed polymorph (eV per atom) = 0.000
- formation energy without anion corrections (kJ/mol of atoms) = 112.7
- space-group type = No. 123

abc: 5.273 5.273 4.869
angles: 90.00 90.00 90.00
Sites, in units of the cell vectors:
B 0.000 0.000 0.000
Mo 0.500 0.500 0.500
As 0.500 0.500 0.000
Br 0.000 0.500 0.500
Br 0.500 0.000 0.500

***

The following is a DFT calculation (PBE) of a relaxed NaBAsBr2 crystal.

Results
- ΔE to the lowest computed polymorph (eV per atom) = 0.942
- formation energy without anion corrections (kJ/mol of atoms) = 106.2
- space-group type = No. 123

abc: 5.453 5.453 5.590
angles: 90.00 90.00 90.00
Sites, in units of the cell vectors:
Na 0.000 0.000 0.000
B 0.500 0.500 0.500
As 0.000 0.000 0.500
Br 0.000 0.500 0.000
Br 0.500 0.000 0.000

***

The following is a DFT calculation (PBE) of a relaxed NaBAs2Br crystal.

Results
- ΔE to the lowest computed polymorph (eV per atom) = 1.436
- formation energy without anion corrections (kJ/mol of atoms) = 157.3
- space-group type = No. 123

abc: 5.090 5.090 5.388
angles: 90.00 90.00 90.00
Sites, in units of the cell vectors:
Na 0.000 0.000 0.000
B 0.500 0.500 0.500
As 0.000 0.500 0.000
As 0.500 0.000 0.000
Br 0.000 0.000 0.500

***

The following is a DFT calculation (PBE) of a relaxed NaBAsBr2 crystal.

Results
- ΔE to the lowest computed polymorph (eV per atom) = 0.000
- formation energy without anion corrections (kJ/mol of atoms) = 15.4
- space-group type = No. 123

abc: 5.364 5.364 4.046
angles: 90.00 90.00 90.00
Sites, in units of the cell vectors:
Na 0.000 0.000 0.000
B 0.500 0.500 0.500
As 0.500 0.500 0.000
Br 0.000 0.500 0.500
Br 0.500 0.000 0.500

***

The following is a DFT calculation (PBE) of a relaxed NaBAs2Br crystal.

Results
- ΔE to the lowest computed polymorph (eV per atom) = 0.000
- formation energy without anion corrections (kJ/mol of atoms) = 18.7
- space-group type = No. 123

abc: 4.186 4.186 8.585
angles: 90.00 90.00 90.00
Sites, in units of the cell vectors:
Na 0.000 0.000 0.000
B 0.500 0.500 0.500
As 0.000 0.500 0.500
As 0.500 0.000 0.500
Br 0.500 0.500 0.000

***

The following is a DFT calculation (PBE) of a relaxed NbBAsBr2 crystal.

Results
- ΔE to the lowest computed polymorph (eV per atom) = 0.073
- formation energy without anion corrections (kJ/mol of atoms) = 95.6
- space-group type = No. 123

abc: 4.529 4.529 4.638
angles: 90.00 90.00 90.00
Sites, in units of the cell vectors:
Nb 0.000 0.000 0.000
B 0.500 0.500 0.500
As 0.500 0.500 0.000
Br 0.000 0.500 0.500
Br 0.500 0.000 0.500

***

The following is a DFT calculation (PBE) of a relaxed NbBAsBr2 crystal.

Results
- ΔE to the lowest computed polymorph (eV per atom) = 0.000
- formation energy without anion corrections (kJ/mol of atoms) = 88.5
- space-group type = No. 123

abc: 5.174 5.174 5.082
angles: 90.00 90.00 90.00
Sites, in units of the cell vectors:
Nb 0.000 0.000 0.000
B 0.500 0.500 0.500
As 0.000 0.000 0.500
Br 0.000 0.500 0.000
Br 0.500 0.000 0.000

***

The following is a DFT calculation (PBE) of a relaxed NbBAs2Br crystal.

Results
- ΔE to the lowest computed polymorph (eV per atom) = 0.408
- formation energy without anion corrections (kJ/mol of atoms) = 102.6
- space-group type = No. 123

abc: 4.990 4.990 5.308
angles: 90.00 90.00 90.00
Sites, in units of the cell vectors:
Nb 0.000 0.000 0.000
B 0.500 0.500 0.500
As 0.000 0.500 0.000
As 0.500 0.000 0.000
Br 0.000 0.000 0.500

***

The following is a DFT calculation (PBE) of a relaxed NbBAs2Br crystal.

Results
- ΔE to the lowest computed polymorph (eV per atom) = 0.254
- formation energy without anion corrections (kJ/mol of atoms) = 87.7
- space-group type = No. 123

abc: 4.346 4.346 4.752
angles: 90.00 90.00 90.00
Sites, in units of the cell vectors:
Nb 0.000 0.000 0.000
B 0.500 0.500 0.500
As 0.000 0.500 0.500
As 0.500 0.000 0.500
Br 0.500 0.500 0.000

***

The following is a DFT calculation (PBE) of a relaxed NbBAs2Br crystal.

Results
- ΔE to the lowest computed polymorph (eV per atom) = 0.000
- formation energy without anion corrections (kJ/mol of atoms) = 63.2
- space-group type = No. 123

abc: 5.057 5.057 4.435
angles: 90.00 90.00 90.00
Sites, in units of the cell vectors:
Nb 0.000 0.000 0.000
B 0.000 0.000 0.500
As 0.000 0.500 0.000
As 0.500 0.000 0.000
Br 0.500 0.500 0.500

***

The following is a DFT calculation (PBE) of a relaxed Nd4BAsBr2 crystal.

Results
- formation energy without anion corrections (kJ/mol of atoms) = -107.2
- space-group type = No. 10

abc: 7.253 4.121 7.708
angles: 90.00 107.82 90.00
Sites, in units of the cell vectors:
Nd 0.210 0.000 0.196
Nd 0.242 0.500 0.797
Nd 0.758 0.500 0.203
Nd 0.790 0.000 0.804
B 0.000 0.500 0.000
As 0.500 0.000 0.000
Br 0.000 0.000 0.500
Br 0.500 0.500 0.500

***

The following is a DFT calculation (PBE) of a relaxed NiBAsBr2 crystal.

Results
- ΔE to the lowest computed polymorph (eV per atom) = 0.000
- formation energy without anion corrections (kJ/mol of atoms) = 102.1
- space-group type = No. 123

abc: 5.056 5.056 4.470
angles: 90.00 90.00 90.00
Sites, in units of the cell vectors:
Ni 0.000 0.000 0.000
B 0.500 0.500 0.500
As 0.000 0.000 0.500
Br 0.000 0.500 0.000
Br 0.500 0.000 0.000

***

The following is a DFT calculation (PBE) of a relaxed NiBAsBr2 crystal.

Results
- ΔE to the lowest computed polymorph (eV per atom) = 0.028
- formation energy without anion corrections (kJ/mol of atoms) = 104.8
- space-group type = No. 123

abc: 4.879 4.879 4.123
angles: 90.00 90.00 90.00
Sites, in units of the cell vectors:
Ni 0.000 0.000 0.000
B 0.500 0.500 0.500
As 0.500 0.500 0.000
Br 0.000 0.500 0.500
Br 0.500 0.000 0.500

***

The following is a DFT calculation (PBE) of a relaxed BAsOsBr2 crystal.

Results
- ΔE to the lowest computed polymorph (eV per atom) = 0.000
- formation energy without anion corrections (kJ/mol of atoms) = 133.9
- space-group type = No. 123

abc: 5.264 5.264 4.641
angles: 90.00 90.00 90.00
Sites, in units of the cell vectors:
B 0.000 0.000 0.000
As 0.500 0.500 0.000
Os 0.500 0.500 0.500
Br 0.000 0.500 0.500
Br 0.500 0.000 0.500

***

The following is a DFT calculation (PBE) of a relaxed BAs2OsBr crystal.

Results
- ΔE to the lowest computed polymorph (eV per atom) = 0.009
- formation energy without anion corrections (kJ/mol of atoms) = 134.1
- space-group type = No. 123

abc: 4.243 4.243 4.482
angles: 90.00 90.00 90.00
Sites, in units of the cell vectors:
B 0.000 0.000 0.000
As 0.000 0.500 0.000
As 0.500 0.000 0.000
Os 0.500 0.500 0.500
Br 0.000 0.000 0.500